A geometry-optimized BeV4Ga2 structure. Source: Alexandria, functional GGA-PBE.

Properties
- calculated volume (Å³/atom) = 14.7
- space group = I4/mmm (139)

The structure in POSCAR format:
```
BeV4Ga2
1.0
3.933 0.000 0.000
0.000 3.933 0.000
1.967 1.967 6.663
Be Ga V
1 2 4
Cartesian
0.000 0.000 0.000
1.967 1.967 1.872
3.933 3.933 4.791
1.967 1.967 4.494
3.933 3.933 2.169
0.000 1.967 0.000
1.967 0.000 0.000
```


A geometry-optimized BeVGa structure. Source: Alexandria, functional GGA-PBE.

Properties
- calculated volume (Å³/atom) = 12.3
- excess energy over the best structure of this formula in the dataset (eV/f.u.) = 0.49
- space group = I4mm (107)

The structure in POSCAR format:
```
BeVGa
1.0
-0.931 2.496 -0.605
0.491 -0.458 -2.648
-4.338 -2.846 1.097
Be Ga V
1 1 1
Cartesian
-1.293 0.589 -1.751
-4.427 -0.668 -2.115
-2.467 -0.989 -0.286
```


A geometry-optimized Be2VGa2 structure. Source: Alexandria, functional GGA-PBE.

Properties
- calculated volume (Å³/atom) = 12.2
- space group = P4/mbm (127)

The structure in POSCAR format:
```
Be2VGa2
1.0
-5.535 -3.551 0.589
1.275 -2.945 -5.770
1.425 -2.000 1.336
Be Ga V
4 4 2
Cartesian
-0.982 -3.942 -4.855
-4.081 -4.951 -3.058
-3.278 -2.554 -0.327
-0.179 -1.545 -2.123
0.599 -3.619 -3.131
-1.982 -5.828 -3.685
-3.433 -4.877 -0.714
-0.853 -2.669 -0.160
0.000 0.000 0.000
-2.130 -3.248 -2.591
```


A geometry-optimized BeVGa2 structure. Source: Alexandria, functional GGA-PBE.

Properties
- calculated volume (Å³/atom) = 14.0
- space group = I-42d (122)

The structure in POSCAR format:
```
BeVGa2
1.0
6.659 0.000 0.000
0.000 6.659 0.000
3.329 3.329 2.522
Be Ga V
2 4 2
Cartesian
3.329 3.329 0.000
3.329 6.659 1.261
4.712 1.665 0.631
1.946 4.994 0.631
4.994 5.276 1.892
8.324 8.042 1.892
0.000 0.000 0.000
6.659 3.329 1.261
```


A geometry-optimized BeV2Ga2 structure. Source: Alexandria, functional GGA-PBE.

Properties
- calculated volume (Å³/atom) = 13.8
- excess energy over the best structure of this formula in the dataset (eV/f.u.) = 0.00
- space group = P4/mbm (127)

The structure in POSCAR format:
```
BeV2Ga2
1.0
-4.658 3.651 1.284
-3.752 -3.768 -2.899
-0.588 -1.876 3.200
Be Ga V
2 4 4
Cartesian
0.000 0.000 0.000
-4.205 -0.059 -0.808
-4.884 -1.926 -2.027
-6.405 0.711 -0.761
-3.526 1.809 0.412
-2.005 -0.828 -0.854
-3.554 -2.841 -0.115
-6.524 -1.659 0.032
-5.444 0.848 1.700
-2.474 -0.334 1.554
```


A geometry-optimized Be2V6Ga structure. Source: Alexandria, functional GGA-PBE.

Properties
- calculated volume (Å³/atom) = 12.6
- space group = Immm (71)

The structure in POSCAR format:
```
Be2V6Ga
1.0
6.679 -0.196 -0.264
-2.712 6.107 0.264
-2.355 -2.706 5.643
Be V Ga
4 12 2
Cartesian
0.213 -0.143 4.962
1.399 3.348 0.682
2.770 -1.859 3.446
1.554 -1.043 1.933
-0.459 2.057 4.528
2.071 1.148 1.116
-2.078 -0.354 4.528
3.689 3.559 1.116
1.921 2.998 2.964
-0.309 0.207 2.679
-2.834 1.902 5.623
4.446 1.303 0.020
2.053 0.442 3.798
-0.441 2.763 1.845
-2.343 4.040 4.062
3.955 -0.835 1.581
-2.534 1.700 2.954
0.000 0.000 0.000
```


A geometry-optimized BeV8Ga2 structure. Source: Alexandria, functional GGA-PBE.

Properties
- calculated volume (Å³/atom) = 13.3
- space group = C2/m (12)

The structure in POSCAR format:
```
BeV8Ga2
1.0
4.311 0.000 0.000
0.000 4.744 0.532
-2.156 -1.233 6.992
Be V Ga
1 8 2
Cartesian
2.156 0.000 0.000
0.000 1.215 6.036
2.156 0.049 2.444
2.156 2.468 4.092
0.000 1.110 0.767
0.000 1.044 3.431
0.000 3.463 5.080
2.156 2.296 1.487
2.156 2.402 6.757
2.156 0.083 5.072
0.000 3.428 2.451
```


A geometry-optimized Be4VGa structure. Source: Alexandria, functional GGA-PBE.

Properties
- calculated volume (Å³/atom) = 10.2
- space group = F-43m (216)

The structure in POSCAR format:
```
Be4VGa
1.0
4.418 0.000 0.000
2.209 3.826 0.000
2.209 1.275 3.608
Be Ga V
4 1 1
Cartesian
4.418 2.551 0.485
4.418 1.308 2.243
5.495 3.173 2.243
3.342 3.173 2.243
0.000 0.000 0.000
2.209 1.275 0.902
```


A geometry-optimized BeV6Ga2 structure. Source: Alexandria, functional GGA-PBE.

Properties
- calculated volume (Å³/atom) = 13.2
- space group = C2/m (12)

The structure in POSCAR format:
```
BeV6Ga2
1.0
2.402 0.000 -0.814
0.000 7.368 0.000
-2.557 -3.684 7.583
Be V Ga
1 6 2
Cartesian
0.000 0.000 0.000
-0.310 1.209 2.308
0.155 -2.475 4.462
0.155 2.475 4.462
1.201 2.408 -0.407
-0.310 6.159 2.308
1.201 4.960 -0.407
0.748 3.684 1.986
-0.903 0.000 4.784
```


A geometry-optimized BeVGa structure. Source: Alexandria, functional GGA-PBE.

Properties
- calculated volume (Å³/atom) = 12.2
- excess energy over the best structure of this formula in the dataset (eV/f.u.) = 0.00
- space group = P6_3/mmc (194)

The structure in POSCAR format:
```
BeVGa
1.0
-1.114 -3.746 0.542
1.434 1.146 -3.492
5.027 -1.256 1.652
V Be Ga
2 2 2
Cartesian
1.956 -2.501 1.097
-0.557 -1.873 0.271
1.549 -0.557 -0.661
3.797 -3.300 -0.636
4.062 -1.185 0.166
1.284 -2.672 -1.463
```


A geometry-optimized BeV12Ga3 structure. Source: Alexandria, functional GGA-PBE.

Properties
- calculated volume (Å³/atom) = 13.3
- space group = Pmmm (47)

The structure in POSCAR format:
```
BeV12Ga3
1.0
-2.006 -3.992 1.610
4.259 -1.601 1.337
-1.158 4.000 8.478
Be V Ga
1 12 3
Cartesian
-0.579 2.000 4.239
-1.447 -0.462 4.056
-2.011 1.486 8.184
0.638 -3.769 1.866
0.014 -1.857 6.140
2.902 -0.166 3.205
2.345 1.759 7.284
-1.153 -1.477 1.904
-1.717 0.470 6.032
1.615 -1.823 1.081
1.081 0.265 5.285
0.756 0.641 2.531
0.199 2.565 6.610
0.836 -1.792 3.602
0.259 0.200 7.822
0.000 0.000 0.000
```


A geometry-optimized BeVGa2 structure. Source: Alexandria, functional GGA-PBE.

Properties
- calculated volume (Å³/atom) = 13.0
- space group = P4/mmm (123)

The structure in POSCAR format:
```
BeVGa2
1.0
-0.938 -3.265 1.485
3.607 -0.737 0.657
-0.284 1.611 3.364
Be Ga V
1 2 1
Cartesian
-0.469 -1.633 0.742
-0.142 0.805 1.682
1.804 -0.369 0.329
1.193 -1.196 2.753
```


A geometry-optimized BeV5Ga4 structure. Source: Alexandria, functional GGA-PBE.

Properties
- calculated volume (Å³/atom) = 14.9
- space group = I4/m (87)

The structure in POSCAR format:
```
BeV5Ga4
1.0
4.935 0.000 0.000
2.467 5.493 0.000
2.467 0.000 5.493
Be V Ga
1 5 4
Cartesian
0.006 0.000 0.000
7.407 2.074 4.557
4.940 4.557 3.419
4.940 0.937 2.074
2.472 3.419 0.937
2.473 0.000 0.000
4.940 2.182 4.265
7.407 4.265 3.311
2.472 1.229 2.182
4.940 3.311 1.229
```


A geometry-optimized BeV2Ga2 structure. Source: Alexandria, functional GGA-PBE.

Properties
- calculated volume (Å³/atom) = 14.2
- excess energy over the best structure of this formula in the dataset (eV/f.u.) = 0.11
- space group = P4/mbm (127)

The structure in POSCAR format:
```
BeV2Ga2
1.0
5.989 0.000 0.000
0.000 5.989 0.000
0.000 0.000 3.947
Be Ga V
2 4 4
Cartesian
0.000 0.000 0.000
2.995 2.995 0.000
0.956 3.951 1.973
3.951 5.033 1.973
5.033 2.038 1.973
2.038 0.956 1.973
2.104 5.098 0.000
5.098 3.886 0.000
3.886 0.891 0.000
0.891 2.104 0.000
```


A geometry-optimized BeVGa structure. Source: Alexandria, functional GGA-PBE.

Properties
- calculated volume (Å³/atom) = 12.3
- excess energy over the best structure of this formula in the dataset (eV/f.u.) = 0.08
- space group = P-6m2 (187)

The structure in POSCAR format:
```
BeVGa
1.0
2.758 0.000 0.000
0.000 3.930 0.000
0.000 -1.965 3.404
Be Ga V
1 1 1
Cartesian
1.378 1.965 1.135
1.380 0.000 2.269
0.000 0.000 0.000
```


A geometry-optimized Be2V5Ga structure. Source: Alexandria, functional GGA-PBE.

Properties
- calculated volume (Å³/atom) = 12.4
- space group = I4/mcm (140)

The structure in POSCAR format:
```
Be2V5Ga
1.0
-3.796 4.845 -0.221
-0.905 -0.432 6.077
6.394 0.999 -2.098
Be V Ga
4 10 2
Cartesian
-0.822 0.459 2.233
-2.499 2.987 0.639
-2.202 1.426 5.217
-3.878 3.954 3.623
1.914 2.888 2.599
-2.063 3.805 5.193
0.000 0.000 0.000
-2.350 2.207 2.928
3.757 1.607 -1.435
1.700 3.954 -0.479
3.971 0.541 1.643
-0.007 1.458 4.237
-2.277 4.871 2.115
-0.220 2.524 1.159
-0.328 3.810 3.343
2.022 1.603 0.415
```


A geometry-optimized Be3GaW structure. Source: Alexandria, functional GGA-PBE.

Properties
- calculated volume (Å³/atom) = 13.0
- excess energy over the best structure of this formula in the dataset (eV/f.u.) = 0.00
- space group = Pm-3m (221)

The structure in POSCAR format:
```
Be3GaW
1.0
-0.031 -3.196 2.433
-1.596 -2.223 -2.940
3.685 -0.989 -1.253
Be Ga W
3 1 1
Cartesian
-0.798 -1.111 -1.470
1.843 -0.495 -0.627
-0.015 -1.598 1.216
0.000 0.000 0.000
1.029 -3.204 -0.880
```


A geometry-optimized Be2GaW structure. Source: Alexandria, functional GGA-PBE.

Properties
- calculated volume (Å³/atom) = 12.7
- space group = I-42d (122)

The structure in POSCAR format:
```
Be2GaW
1.0
-5.632 -2.358 1.737
-1.128 -1.729 -6.003
-2.305 -4.285 -1.689
Be Ga W
4 2 2
Cartesian
-4.130 -2.716 -0.120
-2.092 -2.491 -3.924
-4.285 -4.779 -2.980
-7.622 -6.757 -4.886
-3.380 -2.044 -2.133
-3.406 -4.029 -4.913
0.000 0.000 0.000
-5.658 -4.343 -1.042
```


A geometry-optimized Be3GaW structure. Source: Alexandria, functional GGA-PBE.

Properties
- calculated volume (Å³/atom) = 16.7
- excess energy over the best structure of this formula in the dataset (eV/f.u.) = 0.83
- space group = Pm-3m (221)

The structure in POSCAR format:
```
Be3GaW
1.0
-3.465 -1.171 2.400
2.578 -0.444 3.506
-0.695 4.191 1.042
Be Ga W
3 1 1
Cartesian
1.289 -0.222 1.753
-0.347 2.096 0.521
-1.732 -0.586 1.200
-0.791 1.288 3.474
0.000 0.000 0.000
```


A geometry-optimized BeGa3W structure. Source: Alexandria, functional GGA-PBE.

Properties
- calculated volume (Å³/atom) = 16.3
- excess energy over the best structure of this formula in the dataset (eV/f.u.) = 0.00
- space group = Pm-3m (221)

The structure in POSCAR format:
```
BeGa3W
1.0
4.333 0.000 0.000
0.000 4.333 0.000
0.000 0.000 4.333
Be Ga W
1 3 1
Cartesian
0.000 0.000 0.000
0.000 2.167 0.000
0.000 0.000 2.167
2.167 0.000 0.000
2.167 2.167 2.167
```


A geometry-optimized Be2Ga2W structure. Source: Alexandria, functional GGA-PBE.

Properties
- calculated volume (Å³/atom) = 13.0
- excess energy over the best structure of this formula in the dataset (eV/f.u.) = 0.00
- space group = P4/mbm (127)

The structure in POSCAR format:
```
Be2Ga2W
1.0
6.784 0.000 0.000
0.000 6.784 0.000
0.000 0.000 2.825
Be Ga W
4 4 2
Cartesian
1.124 4.516 1.412
4.516 5.660 1.412
5.660 2.268 1.412
2.268 1.124 1.412
2.479 5.871 0.000
5.871 4.305 0.000
4.305 0.913 0.000
0.913 2.479 0.000
0.000 0.000 0.000
3.392 3.392 0.000
```


A geometry-optimized BeGa3W structure. Source: Alexandria, functional GGA-PBE.

Properties
- calculated volume (Å³/atom) = 23.8
- excess energy over the best structure of this formula in the dataset (eV/f.u.) = 0.39
- space group = Pm-3m (221)

The structure in POSCAR format:
```
BeGa3W
1.0
4.921 0.000 0.000
0.000 4.921 0.000
0.000 0.000 4.921
Be Ga W
1 3 1
Cartesian
2.460 2.460 2.460
0.000 2.460 0.000
0.000 0.000 2.460
2.460 0.000 0.000
0.000 0.000 0.000
```


A geometry-optimized Be2Ga2W structure. Source: Alexandria, functional GGA-PBE.

Properties
- calculated volume (Å³/atom) = 13.1
- excess energy over the best structure of this formula in the dataset (eV/f.u.) = 0.72
- space group = I4/mmm (139)

The structure in POSCAR format:
```
Be2Ga2W
1.0
3.442 0.000 0.000
0.000 3.442 0.000
1.721 1.721 5.511
Be Ga W
2 2 1
Cartesian
3.442 1.721 2.755
1.721 3.442 2.755
1.721 1.721 1.217
3.442 3.442 4.293
0.000 0.000 0.000
```


A geometry-optimized BeZn2GaW structure. Source: Alexandria, functional GGA-PBE.

Properties
- calculated volume (Å³/atom) = 23.5
- excess energy over the best structure of this formula in the dataset (eV/f.u.) = 1.00
- space group = P4/mmm (123)

The structure in POSCAR format:
```
BeZn2GaW
1.0
-4.780 0.773 0.774
-0.917 -4.723 -0.949
0.593 -1.064 4.723
Be Zn Ga W
1 2 1 1
Cartesian
-2.552 -2.507 2.274
-0.458 -2.361 -0.474
-2.390 0.386 0.387
0.297 -0.532 2.362
0.000 0.000 0.000
```


A geometry-optimized BeZn2GaW structure. Source: Alexandria, functional GGA-PBE.

Properties
- calculated volume (Å³/atom) = 22.1
- excess energy over the best structure of this formula in the dataset (eV/f.u.) = 0.00
- space group = P4/mmm (123)

The structure in POSCAR format:
```
BeZn2GaW
1.0
4.989 0.000 0.000
0.000 4.432 0.000
0.000 0.000 4.989
Be Zn Ga W
1 2 1 1
Cartesian
0.000 2.216 0.000
0.000 0.000 2.494
2.494 0.000 0.000
2.494 2.216 2.494
0.000 0.000 0.000
```


Energy of formation from the pure elements per entry: 0.36; 0.03; 0.14; 0.24; 0.08; -0.04; -0.08; 0.03; -0.01; -0.13; -0.13; -0.07; 0.31; 0.10; -0.11; -0.07; 1.27; 0.50; 1.43; 1.00; 0.33; 1.08; 0.48; 1.44; 1.25 eV/atom
Size of the total moment per entry: 0.00; 0.00; 0.00; 0.38; 1.51; 0.00; 0.00; 2.19; 0.00; 0.65; 0.00; 0.27; 0.00; 0.00; 0.64; 0.00; 0.00; 0.00; 0.00; 2.15; 0.00; 0.66; 0.00; 0.00; 0.61 μB per formula unit